Entry from the Alexandria database: a relaxed structure of LaScHg3 (PBE).

Calculated values
Calculated formation energy (eV per atom): 0.638
Density of states at the Fermi level (states/eV/f.u.): 8.25
E above lowest polymorph (meV per atom): 1061.2
Uncorrected energy (eV/atom): -1.795

The structure in POSCAR format:
```
LaScHg3
1.0
-3.475 0.353 4.645
3.110 -4.139 2.641
3.468 4.064 2.286
Sc Hg La
1 3 1
Direct
0.500 0.500 0.500
0.000 0.500 0.000
0.000 0.000 0.500
0.500 0.000 0.000
0.000 0.000 0.000
```

=====

Entry from the Alexandria database: a relaxed structure of K2P2O (PBE).

Calculated values
ΔE_f (raw) (eV per atom): -0.0557
Density of states at the Fermi level (states/eV/f.u.): 9.92
E above lowest polymorph (meV per atom): 164.2
Uncorrected energy (eV/atom): -3.650

The structure in POSCAR format:
```
K2P2O
1.0
-0.139 -1.826 -7.338
6.206 -4.221 0.933
-2.601 -3.614 0.949
P K O
4 4 2
Direct
0.408 0.908 0.000
0.908 0.592 0.000
0.592 0.092 0.000
0.092 0.408 0.000
0.207 0.707 0.500
0.707 0.793 0.500
0.793 0.293 0.500
0.293 0.207 0.500
0.000 0.000 0.000
0.500 0.500 0.000
```

=====

Entry from the Alexandria database: a relaxed structure of Rb3ZrSn (PBE).

Calculated values
Calculated formation energy (eV per atom): 1.075
Density of states at the Fermi level (states/eV/f.u.): 8.77
E above lowest polymorph (meV per atom): 0.0
Uncorrected energy (eV/atom): -2.015

The structure in POSCAR format:
```
Rb3ZrSn
1.0
-3.507 6.039 0.901
-5.836 -3.621 1.551
1.793 0.025 6.809
Rb Sn Zr
3 1 1
Direct
0.000 0.500 0.000
0.000 0.000 0.500
0.500 0.000 0.000
0.000 0.000 0.000
0.500 0.500 0.500
```

=====

Entry from the Alexandria database: a relaxed structure of RbTl2CuPb (PBE).

Calculated values
Calculated formation energy (eV per atom): 0.117
Density of states at the Fermi level (states/eV/f.u.): 4.24
Uncorrected energy (eV/atom): -2.584

The structure in POSCAR format:
```
RbTl2CuPb
1.0
-4.885 -2.078 -1.411
-0.045 -3.012 4.593
-2.477 4.040 2.625
Pb Tl Cu Rb
1 2 1 1
Direct
0.000 0.000 0.500
0.000 0.500 0.000
0.500 0.000 0.000
0.000 0.000 0.000
0.500 0.500 0.500
```

=====

Entry from the Alexandria database: a relaxed structure of NaPH3 (PBE).

Calculated values
Density of states at the Fermi level (states/eV/f.u.): 0.71
E above lowest polymorph (meV per atom): 4.2
Uncorrected energy (eV/atom): -3.342

The structure in POSCAR format:
```
NaPH3
1.0
4.202 0.000 0.000
0.009 10.871 -0.031
-0.001 -0.107 5.003
Na P H
2 2 6
Direct
0.199 0.111 0.699
0.699 0.241 0.205
0.124 0.564 0.694
0.624 0.789 0.207
0.285 0.785 0.208
0.635 0.881 0.007
0.137 0.473 0.481
0.784 0.569 0.693
0.134 0.471 0.894
0.637 0.880 0.420
```

=====

Entry from the Alexandria database: a relaxed structure of Ba2CdIr (PBE).

Calculated values
Calculated formation energy (eV per atom): -0.077
Density of states at the Fermi level (states/eV/f.u.): 6.19
Uncorrected energy (eV/atom): -3.482

The structure in POSCAR format:
```
Ba2CdIr
1.0
11.456 0.000 0.000
0.000 11.456 0.000
5.728 5.728 2.671
Ir Ba Cd
2 4 2
Direct
0.000 0.000 0.000
0.750 0.250 0.500
0.799 0.125 0.250
0.951 0.625 0.250
0.375 0.201 0.750
0.875 0.049 0.750
0.500 0.500 0.000
0.250 0.750 0.500
```

=====

Entry from the Alexandria database: a relaxed structure of La5TaN8 (PBE).

Calculated values
ΔE_f (raw) (eV per atom): -0.9578
Uncorrected energy (eV/atom): -8.322

The structure in POSCAR format:
```
La5TaN8
1.0
-6.042 1.293 -1.951
2.434 -4.626 -3.830
0.143 -2.133 6.117
La Ta N
5 1 8
Direct
0.008 0.363 0.105
0.895 0.904 0.258
0.742 0.637 0.645
0.500 0.000 0.500
0.355 0.096 0.992
0.250 0.500 0.750
0.142 0.719 0.029
0.971 0.113 0.689
0.883 0.371 0.430
0.570 0.453 0.941
0.488 0.547 0.117
0.576 0.887 0.858
0.311 0.281 0.424
0.059 0.629 0.512
```

=====

Entry from the Alexandria database: a relaxed structure of Ce2Er5Ga4 (PBE).

Calculated values
Calculated formation energy (eV per atom): -0.233
Density of states at the Fermi level (states/eV/f.u.): 14.17
Uncorrected energy (eV/atom): -4.487

The structure in POSCAR format:
```
Ce2Er5Ga4
1.0
3.589 0.000 0.000
0.000 8.350 0.000
-1.795 -4.175 9.853
Ce Er Ga
2 5 4
Direct
0.430 0.430 0.860
0.570 0.570 0.140
0.162 0.380 0.324
0.838 0.620 0.676
0.162 0.943 0.324
0.500 0.000 0.000
0.838 0.057 0.676
0.719 0.719 0.439
0.000 0.266 0.000
0.281 0.281 0.561
0.000 0.734 0.000
```

=====

Entry from the Alexandria database: a relaxed structure of NaSm3Ti2Sb2O14 (PBE).

Calculated values
ΔE_f (raw) (eV per atom): -2.6718
Density of states at the Fermi level (states/eV/f.u.): 0.00
E above lowest polymorph (meV per atom): 3.6
Uncorrected energy (eV/atom): -7.623

The structure in POSCAR format:
```
NaSm3Ti2Sb2O14
1.0
7.328 0.002 -0.001
3.555 6.408 -0.001
3.559 2.096 6.000
Na Sm Ti Sb O
1 3 2 2 14
Direct
0.000 0.000 0.000
0.000 0.000 0.500
0.500 0.000 0.000
0.000 0.500 0.000
0.500 0.500 0.500
0.500 0.500 0.000
0.000 0.500 0.500
0.500 0.000 0.500
0.570 0.570 0.183
0.172 0.172 0.573
0.176 0.577 0.577
0.562 0.179 0.178
0.179 0.562 0.178
0.577 0.176 0.577
0.430 0.430 0.817
0.828 0.828 0.427
0.824 0.423 0.423
0.438 0.821 0.822
0.821 0.438 0.822
0.423 0.824 0.423
0.870 0.870 0.873
0.130 0.130 0.127
```

=====

Entry from the Alexandria database: a relaxed structure of FeCuOs (PBE).

Calculated values
Calculated formation energy (eV per atom): 0.258
Density of states at the Fermi level (states/eV/f.u.): 2.70
E above lowest polymorph (meV per atom): 42.5
Uncorrected energy (eV/atom): -7.671

The structure in POSCAR format:
```
FeCuOs
1.0
5.568 0.005 0.000
4.279 3.563 0.000
-4.924 -1.784 1.892
Cu Fe Os
1 1 1
Direct
0.995 0.995 0.000
0.328 0.328 0.000
0.677 0.677 0.000
```

=====

Entry from the Alexandria database: a relaxed structure of CaZn2SiAu4 (PBE).

Calculated values
ΔE_f (raw) (eV per atom): -0.2595
Density of states at the Fermi level (states/eV/f.u.): 2.71
Uncorrected energy (eV/atom): -3.145

The structure in POSCAR format:
```
CaZn2SiAu4
1.0
-0.167 -0.333 4.487
-3.505 -2.018 1.979
2.895 -8.339 1.748
Ca Zn Si Au
1 2 1 4
Direct
0.000 0.000 0.000
0.744 0.744 0.769
0.256 0.256 0.231
0.500 0.500 0.500
0.400 0.400 0.801
0.866 0.866 0.401
0.134 0.134 0.599
0.600 0.600 0.199
```

=====

Entry from the Alexandria database: a relaxed structure of LiMgTa2 (PBE).

Calculated values
Calculated formation energy (eV per atom): 0.333
Density of states at the Fermi level (states/eV/f.u.): 3.90
Uncorrected energy (eV/atom): -6.471

The structure in POSCAR format:
```
LiMgTa2
1.0
-3.431 3.127 0.466
-0.684 -1.098 2.328
3.357 3.089 3.992
Li Mg Ta
1 1 2
Direct
0.000 0.503 0.507
0.500 0.675 0.734
0.000 0.977 0.020
0.500 0.344 0.240
```

=====

> The highest uncorrected energy belongs to which entry?

LaScHg3

=====

> What is the uncorrected energy in the first record?

-1.795 eV/atom

=====

> What is the uncorrected energy in the twelfth record?

-6.471 eV/atom

=====

> Which formula does entry 5 have?

NaPH3